Record 1
Compound: Ti2NiCl
Source: Alexandria via LeMat-Bulk
Functional: SCAN
Structure: PBEsol geometry

The calculation puts the formation energy (no corrections) at -0.057 eV per atom. Its density of states at the Fermi level is 0.762 states/eV/atom.

The space group is Fm-3m (No. 225) and the conventional cell measures 6.049, 6.049 and 6.049 Å, with angles of 90.00, 90.00 and 90.00 degrees. Symmetry generates all atoms from Ti at (0.250, 0.250, 0.250), Ni at (0.000, 0.000, 0.000) and Cl at (0.000, 0.000, 0.500).

---

Record 2
Compound: LiScTc2
Source: Alexandria via LeMat-Bulk
Functional: SCAN
Structure: PBEsol geometry

As for the formation energy: 224 meV/atom. Its density of states at the Fermi level is 0.593 states/eV/atom.

The space group is P4/mmm (No. 123) and the conventional cell measures 2.589, 2.589 and 9.009 Å, with angles of 90.00, 90.00 and 90.00 degrees. Symmetry generates all atoms from Li at (0.000, 0.000, 0.000), Sc at (0.000, 0.000, 0.500) and Tc at (0.500, 0.500, 0.244).

---

| no. | size of the total moment (Bohr magnetons per cell) | volume (Å³/f.u.) | total energy (eV per atom) |
| --- | --- | --- | --- |
| 1 | 0.000 | 55 | -14.110 |
| 2 | 0.000 | 60 | -21.462 |